Record 1
DFT (PBE-GGA) results for a relaxed structure of SrOsCl2.

Formation energy from raw total energies   -185 meV/atom
Mass density   5.96 g/cm³
Spin magnetization   0.00 μB per cell
Space-group type   P4mm

Cell: 3.4223 3.4224 8.3013 Å, 90.00 90.00 90.00°
Last column: nearest neighbours and their distance in Å.
Element x y z (fractional)
1 Sr 0.5000 0.5000 0.7403  5 Cl 2.93-3.05
2 Os 0.0000 0.0000 0.4482  4 Cl 2.50
3 Cl 0.0000 0.0000 0.9390  4 Sr 2.93
4 Cl 0.5000 0.5000 0.3725  4 Os 2.50

---

Record 2
DFT (PBE-GGA) results for a relaxed structure of Sr2OsCl.

Formation energy from raw total energies   529 meV/atom
Mass density   6.46 g/cm³
Spin magnetization   1.00 μB per cell
Space-group type   F-43m

Cell: 5.2624 5.2624 5.2624 Å, 60.00 60.00 60.00°
Last column: nearest neighbours and their distance in Å.
Element x y z (fractional)
1 Cl 0.5000 0.5000 0.5000  4 Os 3.22, 4 Sr 3.22
2 Os 0.7500 0.7500 0.7500  4 Sr 3.22, 4 Cl 3.22
3 Sr 0.0000 0.0000 0.0000  4 Os 3.22, 4 Sr 3.22
4 Sr 0.2500 0.2500 0.2500  4 Cl 3.22, 4 Sr 3.22

---

Record 3
DFT (PBE-GGA) results for a relaxed structure of SrOsCl2.

Formation energy from raw total energies   415 meV/atom
Mass density   5.64 g/cm³
Spin magnetization   4.00 μB per cell
Space-group type   F-43m

Cell: 5.2563 5.2563 5.2563 Å, 60.00 60.00 60.00°
Last column: nearest neighbours and their distance in Å.
Element x y z (fractional)
1 Sr 0.7500 0.7500 0.7500  4 Cl 3.22, 4 Os 3.22
2 Os 0.5000 0.5000 0.5000  4 Sr 3.22, 4 Cl 3.22
3 Cl 0.0000 0.0000 0.0000  4 Cl 3.22, 4 Sr 3.22
4 Cl 0.2500 0.2500 0.2500  4 Cl 3.22, 4 Os 3.22

---

Record 4
DFT (PBE-GGA) results for a relaxed structure of Sr2OsCl.

Formation energy from raw total energies   -34 meV/atom
Mass density   6.34 g/cm³
Spin magnetization   1.00 μB per cell
Space-group type   Fm-3m

Cell: 5.2947 5.2947 5.2947 Å, 60.00 60.00 60.00°
Last column: nearest neighbours and their distance in Å.
Element x y z (fractional)
1 Sr 0.2500 0.2500 0.2500  4 Os 3.24, 4 Cl 3.24
2 Sr 0.7500 0.7500 0.7500  4 Os 3.24, 4 Cl 3.24
3 Os 0.5000 0.5000 0.5000  8 Sr 3.24
4 Cl 0.0000 0.0000 0.0000  8 Sr 3.24

---

Record 5
DFT (PBE-GGA) results for a relaxed structure of SrOsCl.

Formation energy from raw total energies   401 meV/atom
Mass density   7.18 g/cm³
Spin magnetization   1.83 μB per cell
Space-group type   I4mm

Cell: 7.3874 7.3870 3.2106 Å, 77.46 77.44 25.10°
Last column: nearest neighbours and their distance in Å.
Element x y z (fractional)
1 Cl 0.9747 0.9747 0.0253  4 Sr 2.91, 4 Cl 3.21
2 Os 0.6803 0.6803 0.3197  4 Os 3.21, 4 Sr 3.24
3 Sr 0.3450 0.3450 0.6550  4 Cl 2.91, 4 Sr 3.21, 4 Os 3.24

---

Record 6
DFT (PBE-GGA) results for a relaxed structure of Sr2OsCl.

Formation energy from raw total energies   -244 meV/atom
Mass density   6.50 g/cm³
Spin magnetization   0.00 μB per cell
Space-group type   Amm2

Cell: 6.0128 6.0128 5.2692 Å, 90.01 90.01 32.52°
Last column: nearest neighbours and their distance in Å.
Element x y z (fractional)
1 Cl 0.4912 0.4912 0.6252  7 Sr 2.99-3.25
2 Os 0.2584 0.2584 0.1249  7 Sr 2.98-3.26
3 Sr 0.0000 0.0000 0.1251  3 Os 2.98-3.26, 4 Cl 3.13
4 Sr 0.7504 0.7504 0.6249  3 Cl 2.99-3.25, 4 Os 3.13

---

Record 7
DFT (PBE-GGA) results for a relaxed structure of Sr2OsCl.

Formation energy from raw total energies   479 meV/atom
Mass density   4.45 g/cm³
Spin magnetization   2.86 μB per cell
Space-group type   R3m

Cell: 10.6856 10.6856 10.6856 Å, 21.96 21.96 21.96°
Last column: nearest neighbours and their distance in Å.
Element x y z (fractional)
1 Cl 0.5098 0.5098 0.5098  3 Sr 2.86
2 Os 0.7460 0.7460 0.7460  3 Sr 3.08
3 Sr 0.0155 0.0155 0.0155  3 Os 3.08
4 Sr 0.2286 0.2286 0.2286  3 Cl 2.86

---

Record 8
DFT (PBE-GGA) results for a relaxed structure of SrOsCl2.

Formation energy from raw total energies   246 meV/atom
Mass density   5.47 g/cm³
Spin magnetization   0.44 μB per cell
Space-group type   R-3m

Cell: 8.2405 8.2405 8.2405 Å, 27.58 27.58 27.58°
Last column: nearest neighbours and their distance in Å.
Element x y z (fractional)
1 Sr 0.0000 0.0000 0.0000  2 Cl 2.94
2 Os 0.5000 0.5000 0.5000  6 Cl 2.49
3 Cl 0.8763 0.8763 0.8763  3 Os 2.49
4 Cl 0.1237 0.1237 0.1237  3 Os 2.49